No. 1
## NaCa2Br (GGA-PBE)

Data for a geometry-optimized NaCa2Br structure.

Cell lengths 7.448, 7.448, 7.448 Å; angles 105.29, 105.29, 118.21 degrees
Positions (direct):
Na (0.000, 0.000, 0.000)
Na (0.750, 0.250, 0.500)
Ca (0.182, 0.125, 0.557)
Ca (0.375, 0.818, 0.943)
Ca (0.568, 0.625, 0.443)
Ca (0.875, 0.432, 0.057)
Br (0.250, 0.750, 0.500)
Br (0.500, 0.500, 0.000)

Space group   I-42d, No. 122
Energy   -2.21 eV/atom
Polymorph energy (0 for the lowest one)   0.0661 eV per atom

No. 2
## Na2Ca3Br8 (GGA-PBE)

Data for a geometry-optimized Na2Ca3Br8 structure.

Cell lengths 8.370, 8.370, 7.438 Å; angles 98.73, 98.73, 61.20 degrees
Positions (direct):
Na (0.216, 0.216, 0.088)
Na (0.784, 0.784, 0.912)
Ca (0.245, 0.755, 0.500)
Ca (0.500, 0.500, 0.000)
Ca (0.755, 0.245, 0.500)
Br (0.115, 0.115, 0.391)
Br (0.148, 0.612, 0.135)
Br (0.388, 0.852, 0.865)
Br (0.391, 0.391, 0.633)
Br (0.609, 0.609, 0.367)
Br (0.612, 0.148, 0.135)
Br (0.852, 0.388, 0.865)
Br (0.885, 0.885, 0.609)

Space group   C2/m, No. 12
Energy   -3.58 eV/atom

No. 3
## NaCa2Br (GGA-PBE)

Data for a geometry-optimized NaCa2Br structure.

Cell lengths 5.841, 5.841, 5.841 Å; angles 60.00, 60.00, 60.00 degrees
Positions (direct):
Na (0.000, 0.000, 0.000)
Ca (0.250, 0.250, 0.250)
Ca (0.750, 0.750, 0.750)
Br (0.500, 0.500, 0.500)

Space group   Fm-3m, No. 225
Energy   -2.04 eV/atom
Polymorph energy (0 for the lowest one)   0.2425 eV per atom

No. 4
## Na4CaBr6 (GGA-PBE)

Data for a geometry-optimized Na4CaBr6 structure.

Cell lengths 7.355, 7.355, 21.675 Å; angles 90.00, 90.00, 147.54 degrees
Positions (direct):
Na (0.096, 0.904, 0.627)
Na (0.096, 0.904, 0.873)
Na (0.360, 0.640, 0.540)
Na (0.360, 0.640, 0.960)
Na (0.640, 0.360, 0.040)
Na (0.640, 0.360, 0.460)
Na (0.904, 0.096, 0.127)
Na (0.904, 0.096, 0.373)
Ca (0.151, 0.849, 0.250)
Ca (0.849, 0.151, 0.750)
Br (0.000, 0.000, 0.000)
Br (0.000, 0.000, 0.500)
Br (0.201, 0.799, 0.750)
Br (0.273, 0.727, 0.086)
Br (0.273, 0.727, 0.414)
Br (0.445, 0.555, 0.667)
Br (0.445, 0.555, 0.833)
Br (0.555, 0.445, 0.167)
Br (0.555, 0.445, 0.333)
Br (0.727, 0.273, 0.586)
Br (0.727, 0.273, 0.914)
Br (0.799, 0.201, 0.250)

Space group   Cmcm, No. 63
Energy   -3.24 eV/atom

No. 5
## Na2CaBr (GGA-PBE)

Data for a geometry-optimized Na2CaBr structure.

Cell lengths 7.530, 7.530, 7.530 Å; angles 99.38, 99.38, 132.37 degrees
Positions (direct):
Na (0.056, 0.625, 0.931)
Na (0.375, 0.306, 0.431)
Na (0.694, 0.125, 0.069)
Na (0.875, 0.944, 0.569)
Ca (0.250, 0.750, 0.500)
Ca (0.500, 0.500, 0.000)
Br (0.000, 0.000, 0.000)
Br (0.750, 0.250, 0.500)

Space group   I-42d, No. 122
Energy   -2.11 eV/atom
Polymorph energy (0 for the lowest one)   0.0770 eV per atom

No. 6
## NaCa2Br (GGA-PBE)

Data for a geometry-optimized NaCa2Br structure.

Cell lengths 11.900, 11.900, 11.900 Å; angles 18.56, 18.56, 18.56 degrees
Positions (direct):
Na (0.000, 0.000, 0.000)
Ca (0.102, 0.102, 0.102)
Ca (0.898, 0.898, 0.898)
Br (0.500, 0.500, 0.500)

Space group   R-3m, No. 166
Energy   -2.28 eV/atom
Polymorph energy (0 for the lowest one)   0.0000 eV per atom

No. 7
## NaCaBr (GGA-PBE)

Data for a geometry-optimized NaCaBr structure.

Cell lengths 4.058, 4.058, 7.116 Å; angles 90.00, 90.00, 120.00 degrees
Positions (direct):
Na (0.000, 0.000, 0.000)
Ca (0.667, 0.333, 0.406)
Br (0.333, 0.667, 0.681)

Space group   P3m1, No. 156
Energy   -2.58 eV/atom
Polymorph energy (0 for the lowest one)   0.0000 eV per atom

No. 8
## NaCa2Br4 (GGA-PBE)

Data for a geometry-optimized NaCa2Br4 structure.

Cell lengths 8.845, 8.845, 8.846 Å; angles 119.95, 119.95, 90.08 degrees
Positions (direct):
Na (0.125, 0.875, 0.750)
Na (0.875, 0.125, 0.250)
Ca (0.000, 0.500, 0.000)
Ca (0.500, 0.000, 0.500)
Ca (0.500, 0.500, 0.000)
Ca (0.500, 0.500, 0.500)
Br (0.261, 0.283, 0.023)
Br (0.261, 0.738, 0.477)
Br (0.262, 0.739, 0.023)
Br (0.283, 0.261, 0.523)
Br (0.717, 0.739, 0.477)
Br (0.738, 0.261, 0.977)
Br (0.739, 0.262, 0.523)
Br (0.739, 0.717, 0.977)

Space group   C2/c, No. 15
Energy   -3.35 eV/atom

No. 9
## NaCa2Br5 (GGA-PBE)

Data for a geometry-optimized NaCa2Br5 structure.

Cell lengths 7.666, 7.666, 14.363 Å; angles 90.00, 90.00, 135.89 degrees
Positions (direct):
Na (0.209, 0.791, 0.750)
Na (0.791, 0.209, 0.250)
Ca (0.139, 0.861, 0.059)
Ca (0.139, 0.861, 0.441)
Ca (0.861, 0.139, 0.559)
Ca (0.861, 0.139, 0.941)
Br (0.051, 0.949, 0.619)
Br (0.051, 0.949, 0.881)
Br (0.222, 0.778, 0.250)
Br (0.317, 0.683, 0.558)
Br (0.317, 0.683, 0.942)
Br (0.683, 0.317, 0.058)
Br (0.683, 0.317, 0.442)
Br (0.778, 0.222, 0.750)
Br (0.949, 0.051, 0.119)
Br (0.949, 0.051, 0.381)

Space group   Cmcm, No. 63
Energy   -3.60 eV/atom

No. 10
## NaCaBr3 (GGA-PBE)

Data for a geometry-optimized NaCaBr3 structure.

Cell lengths 5.681, 5.681, 5.681 Å; angles 90.00, 90.00, 90.00 degrees
Positions (direct):
Na (0.000, 0.000, 0.000)
Ca (0.500, 0.500, 0.500)
Br (0.000, 0.500, 0.500)
Br (0.500, 0.000, 0.500)
Br (0.500, 0.500, 0.000)

Space group   Pm-3m, No. 221
Energy   -3.34 eV/atom
Polymorph energy (0 for the lowest one)   0.1463 eV per atom

No. 11
## NaCa2Br2 (GGA-PBE)

Data for a geometry-optimized NaCa2Br2 structure.

Cell lengths 7.543, 7.543, 7.543 Å; angles 138.44, 138.44, 60.22 degrees
Positions (direct):
Na (0.000, 0.000, 0.000)
Ca (0.250, 0.750, 0.500)
Ca (0.750, 0.250, 0.500)
Br (0.348, 0.348, 0.000)
Br (0.652, 0.652, 0.000)

Space group   I4/mmm, No. 139
Energy   -2.59 eV/atom
Polymorph energy (0 for the lowest one)   0.2102 eV per atom

No. 12
## NaCaBr3 (GGA-PBE)

Data for a geometry-optimized NaCaBr3 structure.

Cell lengths 7.832, 3.887, 7.837 Å; angles 90.00, 119.96, 90.00 degrees
Positions (direct):
Na (0.000, 0.000, 0.000)
Ca (0.667, 0.000, 0.334)
Br (0.343, 0.500, 0.192)
Br (0.809, 0.500, 0.153)
Br (0.848, 0.500, 0.657)

Space group   Pm, No. 6
Energy   -3.45 eV/atom
Polymorph energy (0 for the lowest one)   0.0372 eV per atom

No. 13
## Na6CaBr8 (GGA-PBE)

Data for a geometry-optimized Na6CaBr8 structure.

Cell lengths 8.554, 8.554, 8.554 Å; angles 60.00, 60.00, 60.00 degrees
Positions (direct):
Na (0.000, 0.000, 0.500)
Na (0.000, 0.500, 0.000)
Na (0.000, 0.500, 0.500)
Na (0.500, 0.000, 0.000)
Na (0.500, 0.000, 0.500)
Na (0.500, 0.500, 0.000)
Ca (0.000, 0.000, 0.000)
Br (0.240, 0.240, 0.760)
Br (0.240, 0.760, 0.240)
Br (0.240, 0.760, 0.760)
Br (0.250, 0.250, 0.250)
Br (0.750, 0.750, 0.750)
Br (0.760, 0.240, 0.240)
Br (0.760, 0.240, 0.760)
Br (0.760, 0.760, 0.240)

Space group   Fm-3m, No. 225
Energy   -3.21 eV/atom

No. 14
## NaCa2Br2 (GGA-PBE)

Data for a geometry-optimized NaCa2Br2 structure.

Cell lengths 7.891, 7.891, 7.891 Å; angles 142.48, 142.48, 54.11 degrees
Positions (direct):
Na (0.000, 0.000, 0.000)
Ca (0.367, 0.367, 0.000)
Ca (0.633, 0.633, 0.000)
Br (0.250, 0.750, 0.500)
Br (0.750, 0.250, 0.500)

Space group   I4/mmm, No. 139
Energy   -2.80 eV/atom
Polymorph energy (0 for the lowest one)   0.0000 eV per atom

No. 15
## NaCaBr (GGA-PBE)

Data for a geometry-optimized NaCaBr structure.

Cell lengths 15.010, 4.015, 4.015 Å; angles 59.59, 90.00, 90.00 degrees
Positions (direct):
Na (0.200, 0.000, 0.000)
Na (0.800, 0.000, 0.000)
Ca (0.000, 0.667, 0.667)
Ca (0.500, 0.888, 0.888)
Br (0.376, 0.556, 0.556)
Br (0.624, 0.556, 0.556)

Space group   Amm2, No. 38
Energy   -2.57 eV/atom
Polymorph energy (0 for the lowest one)   0.0166 eV per atom

No. 16
## Na2CaBr (GGA-PBE)

Data for a geometry-optimized Na2CaBr structure.

Cell lengths 5.937, 5.937, 5.937 Å; angles 60.00, 60.00, 60.00 degrees
Positions (direct):
Na (0.250, 0.250, 0.250)
Na (0.750, 0.750, 0.750)
Ca (0.000, 0.000, 0.000)
Br (0.500, 0.500, 0.500)

Space group   Fm-3m, No. 225
Energy   -1.79 eV/atom
Polymorph energy (0 for the lowest one)   0.3988 eV per atom

No. 17
## NaCa4Br8 (GGA-PBE)

Data for a geometry-optimized NaCa4Br8 structure.

Cell lengths 8.712, 8.712, 8.712 Å; angles 60.00, 60.00, 60.00 degrees
Positions (direct):
Na (0.000, 0.000, 0.000)
Ca (0.136, 0.621, 0.621)
Ca (0.621, 0.136, 0.621)
Ca (0.621, 0.621, 0.136)
Ca (0.621, 0.621, 0.621)
Br (0.384, 0.384, 0.384)
Br (0.384, 0.384, 0.848)
Br (0.384, 0.848, 0.384)
Br (0.409, 0.864, 0.864)
Br (0.848, 0.384, 0.384)
Br (0.864, 0.409, 0.864)
Br (0.864, 0.864, 0.409)
Br (0.864, 0.864, 0.864)

Space group   F-43m, No. 216
Energy   -3.57 eV/atom

No. 18
## Na2CaBr (GGA-PBE)

Data for a geometry-optimized Na2CaBr structure.

Cell lengths 3.714, 3.714, 9.730 Å; angles 90.00, 90.00, 90.00 degrees
Positions (direct):
Na (0.000, 0.000, 0.183)
Na (0.000, 0.000, 0.817)
Ca (0.500, 0.500, 0.500)
Br (0.500, 0.500, 0.000)

Space group   P4/mmm, No. 123
Energy   -2.18 eV/atom
Polymorph energy (0 for the lowest one)   0.0000 eV per atom

No. 19
## Na2CaBr (GGA-PBE)

Data for a geometry-optimized Na2CaBr structure.

Cell lengths 11.174, 11.174, 11.174 Å; angles 20.49, 20.49, 20.49 degrees
Positions (direct):
Na (0.110, 0.110, 0.110)
Na (0.890, 0.890, 0.890)
Ca (0.000, 0.000, 0.000)
Br (0.500, 0.500, 0.500)

Space group   R-3m, No. 166
Energy   -2.17 eV/atom
Polymorph energy (0 for the lowest one)   0.0176 eV per atom

No. 20
## NaCaNb2Br (GGA-PBE)

Data for a geometry-optimized NaCaNb2Br structure.

Cell lengths 4.994, 4.994, 5.776 Å; angles 90.00, 90.00, 90.00 degrees
Positions (direct):
Na (0.000, 0.000, 0.000)
Ca (0.500, 0.500, 0.500)
Nb (0.000, 0.500, 0.500)
Nb (0.500, 0.000, 0.500)
Br (0.500, 0.500, 0.000)

Space group   P4/mmm, No. 123
Energy   -3.38 eV/atom